(1)
LaBeTc2 PBE-GGA optimized geometry; ΔE_f = -41 meV per atom; magnetization = 0.0 μB per formula unit
1.0
3.637 -2.100 0.000
3.637 2.100 0.000
-2.417 0.000 5.334
La Be Tc
1 1 2
Direct
0.000 0.000 0.000
0.809 0.809 0.426
0.190 0.190 0.570
0.498 0.498 0.494

---

(2)
LaBeTc2 PBE-GGA optimized geometry; ΔE_f = 78 meV per atom; magnetization = 0.0 μB per formula unit
1.0
3.071 0.000 0.000
0.000 3.071 0.000
0.000 0.000 7.324
La Be Tc
1 1 2
Direct
0.000 0.000 0.000
0.500 0.500 0.677
0.000 0.000 0.519
0.500 0.500 0.326

---

(3)
LaBeTc2 PBE-GGA optimized geometry; ΔE_f = 601 meV per atom; magnetization = 1.4 μB per formula unit
1.0
4.282 0.000 0.000
0.000 4.282 0.000
0.000 0.000 3.671
La Be Tc
1 1 2
Direct
0.000 0.000 0.000
0.500 0.500 0.000
0.000 0.500 0.500
0.500 0.000 0.500

---

(4)
La2BeTc PBE-GGA optimized geometry; ΔE_f = 8 meV per atom; magnetization = 0.0 μB per formula unit
1.0
8.411 -1.780 0.000
8.411 1.780 0.000
-1.461 0.000 6.222
La Be Tc
4 2 2
Direct
0.134 0.134 0.334
0.333 0.333 0.153
0.667 0.667 0.847
0.866 0.866 0.666
0.500 0.500 0.000
0.500 0.500 0.500
0.024 0.024 0.765
0.976 0.976 0.235

---

(5)
La2BeTc PBE-GGA optimized geometry; ΔE_f = 24 meV per atom; magnetization = 0.0 μB per formula unit
1.0
3.490 0.000 0.000
-0.343 6.479 0.000
-1.120 -1.244 8.264
La Be Tc
4 2 2
Direct
0.027 0.241 0.317
0.426 0.756 0.262
0.574 0.244 0.738
0.973 0.759 0.683
0.230 0.544 0.945
0.770 0.456 0.055
0.257 0.184 0.026
0.743 0.816 0.974

---

(6)
La2BeTc PBE-GGA optimized geometry; ΔE_f = 6 meV per atom; magnetization = 0.0 μB per formula unit
1.0
3.544 0.000 0.000
0.000 5.974 0.000
-0.422 0.000 8.784
La Be Tc
4 2 2
Direct
0.000 0.000 0.000
0.149 0.000 0.541
0.478 0.500 0.052
0.805 0.500 0.671
0.013 0.290 0.288
0.013 0.710 0.288
0.517 0.000 0.274
0.525 0.500 0.409

---

(7)
La2BeTc PBE-GGA optimized geometry; ΔE_f = 22 meV per atom; magnetization = 0.0 μB per formula unit
1.0
4.880 0.000 0.000
-2.440 4.226 0.000
0.000 0.000 4.569
La Be Tc
2 1 1
Direct
0.000 0.000 0.000
0.333 0.667 0.500
0.667 0.333 0.000
0.667 0.333 0.500

---

(8)
La2BeTc PBE-GGA optimized geometry; ΔE_f = 16 meV per atom; magnetization = 0.0 μB per formula unit
1.0
7.209 -2.080 0.000
7.209 2.080 0.000
-4.607 0.000 6.790
La Be Tc
4 2 2
Direct
0.000 0.000 0.000
0.236 0.236 0.950
0.304 0.304 0.480
0.559 0.559 0.442
0.554 0.554 0.801
0.858 0.858 0.286
0.004 0.004 0.616
0.665 0.665 0.153

---

(9)
La2BeTc PBE-GGA optimized geometry; ΔE_f = -29 meV per atom; magnetization = 0.0 μB per formula unit
1.0
3.630 0.000 0.000
1.813 6.312 0.000
0.016 0.789 8.612
La Be Tc
4 2 2
Direct
0.095 0.308 0.192
0.360 0.780 0.370
0.640 0.220 0.630
0.905 0.692 0.808
0.227 0.047 0.927
0.773 0.953 0.073
0.396 0.707 0.096
0.604 0.293 0.904

---

(10)
LaBeTc2W PBE-GGA optimized geometry; ΔE_f = 858 meV per atom; magnetization = 0.4 μB per formula unit
1.0
4.784 0.000 0.000
0.000 4.784 0.000
0.000 0.000 4.583
La Be Tc W
1 1 2 1
Direct
0.000 0.000 0.000
0.500 0.500 0.000
0.000 0.500 0.500
0.500 0.000 0.500
0.500 0.500 0.500

---

(11)
LaBeTe PBE-GGA optimized geometry; distance to the lowest polymorph of the same formula = 255.1 meV per atom; uncorrected formation energy = -22.1 kJ per mole of atoms; magnetization = 0.0 μB per formula unit
1.0
0.000 3.359 3.359
3.359 0.000 3.359
3.359 3.359 0.000
La Be Te
1 1 1
Direct
0.000 0.000 0.000
0.750 0.750 0.750
0.500 0.500 0.500

---

(12)
LaBe2Te PBE-GGA optimized geometry; uncorrected formation energy = 11.6 kJ per mole of atoms; magnetization = 0.0 μB per formula unit
1.0
2.162 1.248 5.032
-2.162 1.248 5.032
0.000 -2.496 5.032
La Be Te
1 2 1
Direct
0.000 0.000 0.000
0.209 0.209 0.209
0.791 0.791 0.791
0.500 0.500 0.500

---

> Which of these has the highest magnetization?

number 3